{
  "formula": "RbNiPb2F8",
  "functional": "PBE with a Hubbard U",
  "state": "relaxed",
  "total_energy_ha_per_atom": -0.16154,
  "cell": [[-1.2689, -5.0439, 0.4598], [1.5790, -1.4187, -5.0674], [7.0969, -2.1040, 0.4273]],
  "species": ["Rb", "F", "F", "F", "F", "F", "F", "F", "F", "Pb", "Pb", "Ni"],
  "frac_coords": [[0.0000, 0.0000, 0.5000], [0.9601, 0.6916, 0.2362], [0.2810, 0.0710, 0.1108], [0.7190, 0.9290, 0.8892], [0.4989, 0.7437, 0.4916], [0.2099, 0.7895, 0.8914], [0.0399, 0.3084, 0.7638], [0.5011, 0.2563, 0.5084], [0.7901, 0.2105, 0.1086], [0.5218, 0.6070, 0.2256], [0.4782, 0.3930, 0.7744], [0.0000, 0.0000, 0.0000]]
}